*i*
First-principles (PBE) data for crystalline InMo2S at its relaxed geometry, as listed in Alexandria via LeMat-Bulk.

a b c (Å): 6.3840 6.3840 6.3840
angles (deg): 90.00 90.00 90.00
With the nearest neighbours (Å) after each atom.
Space group Fm-3m (No. 225)
Symmetry-distinct sites (fractional):
In  0.0000  0.0000  0.0000  8 Mo 2.76
Mo  0.2500  0.2500  0.2500  4 S 2.76, 4 In 2.76
S  0.0000  0.0000  0.5000  8 Mo 2.76

Computed properties:
DOS at the Fermi energy: 23.95 states/eV/cell

*ii*
First-principles (PBE) data for crystalline InMo2S at its relaxed geometry, as listed in Alexandria via LeMat-Bulk.

a b c (Å): 4.0819 4.0819 18.1945
angles (deg): 90.00 90.00 90.00
With the nearest neighbours (Å) after each atom.
Space group I-42d (No. 122)
Symmetry-distinct sites (fractional):
In  0.0000  0.0000  0.0000  4 Mo 2.82, 4 S 2.89
Mo  0.1774  0.2500  0.6250  2 Mo 2.50, 2 S 2.60
S  0.0000  0.0000  0.5000  4 Mo 2.60, 4 In 2.89

Computed properties:
DOS at the Fermi energy: 15.60 states/eV/cell

Least stable structure: *i*

*i*
First-principles (PBE) data for crystalline InMoS3 at its relaxed geometry, as listed in Alexandria via LeMat-Bulk.

a b c (Å): 4.9473 4.9473 4.9473
angles (deg): 90.00 90.00 90.00
With the nearest neighbours (Å) after each atom.
Space group Pm-3m (No. 221)
Symmetry-distinct sites (fractional):
In  0.0000  0.0000  0.0000  6 S 2.47
Mo  0.5000  0.5000  0.5000  12 S 3.50
S  0.0000  0.0000  0.5000  2 In 2.47

Computed properties:
DOS at the Fermi energy: 3.27 states/eV/cell

*ii*
First-principles (PBE) data for crystalline InMoS3 at its relaxed geometry, as listed in Alexandria via LeMat-Bulk.

a b c (Å): 4.7549 4.7549 4.7549
angles (deg): 90.00 90.00 90.00
With the nearest neighbours (Å) after each atom.
Space group Pm-3m (No. 221)
Symmetry-distinct sites (fractional):
In  0.0000  0.0000  0.0000  12 S 3.36
Mo  0.5000  0.5000  0.5000  6 S 2.38
S  0.0000  0.5000  0.5000  2 Mo 2.38

Computed properties:
DOS at the Fermi energy: 1.92 states/eV/cell

Least stable structure: *i*